First-principles (PBE) data for an optimized crystal structure of NdSm2Ho4Mg, as listed in Alexandria.

abc: 4.9779 4.9729 11.2767
angles: 63.82 90.00 90.00
With the nearest neighbours (Å) after each atom.
Fractional coordinates of all 8 atoms:
Nd1 0.5000 0.5000 0.0000  4 Sm 3.52, 8 Ho 3.57-3.58
Sm1 0.0000 0.0000 0.0000  4 Nd 3.52, 8 Ho 3.57-3.58
Sm2 0.5000 0.0000 0.5000  4 Mg 3.52, 8 Ho 3.52
Ho1 0.0000 0.7536 0.7461  4 Ho 3.52, 2 Mg 3.52, 4 Sm 3.52-3.58, 2 Nd 3.58
Ho2 0.0000 0.2464 0.2539  4 Ho 3.52, 2 Mg 3.52, 4 Sm 3.52-3.58, 2 Nd 3.58
Ho3 0.5000 0.7462 0.2538  4 Ho 3.52, 4 Sm 3.52-3.58, 2 Mg 3.52, 2 Nd 3.57-3.58
Ho4 0.5000 0.2538 0.7462  4 Ho 3.52, 4 Sm 3.52-3.58, 2 Mg 3.52, 2 Nd 3.57-3.58
Mg1 0.0000 0.5000 0.5000  4 Sm 3.52, 8 Ho 3.52

Its formation enthalpy at 0 K is 0.22 eV/f.u.

---

First-principles (PBE) data for an optimized crystal structure of NdHoTe2Se, as listed in Alexandria.

abc: 4.3596 4.3596 15.6492
angles: 90.00 90.00 90.00
With the nearest neighbours (Å) after each atom.
Fractional coordinates of all 10 atoms:
Nd1 0.5000 0.0000 0.6321  4 Se 3.00, 4 Te 3.33
Nd2 0.0000 0.5000 0.3679  4 Se 3.00, 4 Te 3.33
Ho1 0.5000 0.0000 0.0900  6 Te 3.09-3.10
Ho2 0.0000 0.5000 0.9100  6 Te 3.09-3.10
Te1 0.0000 0.5000 0.7127  1 Ho 3.09, 4 Nd 3.33
Te2 0.0000 0.5000 0.1079  5 Ho 3.10
Te3 0.5000 0.0000 0.8921  5 Ho 3.10
Te4 0.5000 0.0000 0.2873  1 Ho 3.09, 4 Nd 3.33
Se1 0.0000 0.0000 0.5000  4 Nd 3.00, 4 Se 3.08
Se2 0.5000 0.5000 0.5000  4 Nd 3.00, 4 Se 3.08

The uncorrected formation energy comes out at -1.406 eV/atom.

---

First-principles (PBE) data for an optimized crystal structure of TbPuTc2, as listed in Alexandria.

abc: 3.3735 4.8234 4.8234
angles: 90.00 90.00 90.00
With the nearest neighbours (Å) after each atom.
Fractional coordinates of all 4 atoms:
Tb1 0.5000 0.0000 0.0000  8 Tc 2.94
Tc1 0.0000 0.0000 0.5000  4 Tb 2.94, 4 Pu 2.94
Tc2 0.0000 0.5000 0.0000  4 Tb 2.94, 4 Pu 2.94
Pu1 0.5000 0.5000 0.5000  8 Tc 2.94

Its formation enthalpy at 0 K is 0.45 eV/f.u.

---

First-principles (PBE) data for an optimized crystal structure of Pm2TiBePt6, as listed in Alexandria.

abc: 5.8040 7.3394 5.8011
angles: 66.76 59.99 90.00
With the nearest neighbours (Å) after each atom.
Fractional coordinates of all 10 atoms:
Pm1 0.7163 0.1489 0.5676  9 Pt 3.05-3.37
Pm2 0.2837 0.8511 0.4324  9 Pt 3.05-3.37
Ti1 0.0000 0.0000 0.0000  6 Pt 2.52
Be1 0.5000 0.5000 0.0000  6 Pt 2.18
Pt1 0.2605 0.2942 0.4792  1 Be 2.18
Pt2 0.7397 0.7058 0.0336  1 Be 2.18
Pt3 0.2264 0.7057 0.0337  1 Be 2.18
Pt4 0.7736 0.2943 0.9663  1 Be 2.18
Pt5 0.2603 0.2942 0.9664  1 Be 2.18
Pt6 0.7395 0.7058 0.5208  1 Be 2.18

Its formation enthalpy at 0 K is -8.33 eV/f.u.

---

| no. | mass density (g/cm3) | spin magnetization (μB/f.u.) |
| --- | --- | --- |
| 1 | 7.5 | 0.01 |
| 2 | 7.2 | 0.00 |
| 3 | 12.7 | 3.18 |
| 4 | 13.2 | 0.00 |